A geometry-optimized Cd2TcP structure, computed with PBEsol.

symmetry	Cmmm
DFT formation energy	2.173	eV per formula unit
magnetization	0.00	Bohr magnetons per cell
V	69	Å³ per cell
final energy	-0.3175	Ry/atom

Cell: 2.750 2.750 9.438 Å, 90.00 90.00 105.29°
Atoms (fractional coordinates):
Cd1 0.000 0.000 0.240
Cd2 0.000 0.000 0.760
P1 0.500 0.500 0.500
Tc1 0.500 0.500 0.000



A geometry-optimized Tl3PdS structure, computed with PBEsol.

symmetry	Pm-3m
raw formation energy	16	meV/atom
magnetization	0.00	Bohr magnetons per cell
V	139	Å³ per cell
final energy	-0.2668	Ry/atom

Cell: 5.178 5.178 5.178 Å, 90.00 90.00 90.00°
Atoms (fractional coordinates):
Tl1 0.000 0.500 0.000
Tl2 0.500 0.000 0.000
Tl3 0.000 0.000 0.500
S1 0.500 0.500 0.500
Pd1 0.000 0.000 0.000



A geometry-optimized CuTe2Pb structure, computed with PBEsol.

symmetry	Immm
raw formation energy	-27	meV/atom
magnetization	0.00	Bohr magnetons per cell
V	105	Å³ per cell
final energy	-0.2847	Ry/atom

Cell: 3.808 5.849 5.849 Å, 60.32 71.00 71.00°
Atoms (fractional coordinates):
Te1 0.821 0.179 0.179
Te2 0.179 0.821 0.821
Pb1 0.000 0.500 0.500
Cu1 0.500 0.000 0.000



A geometry-optimized MgCr3Co structure, computed with PBEsol.

symmetry	Pm-3m
DFT formation energy	12.121	eV per formula unit
magnetization	14.74	Bohr magnetons per cell
V	104	Å³ per cell
final energy	-0.4125	Ry/atom

Cell: 4.707 4.707 4.707 Å, 90.00 90.00 90.00°
Atoms (fractional coordinates):
Cr1 0.500 0.000 0.000
Cr2 0.000 0.500 0.000
Cr3 0.000 0.000 0.500
Mg1 0.000 0.000 0.000
Co1 0.500 0.500 0.500



A geometry-optimized CaLaFe2O6 structure, computed with PBEsol.

symmetry	Pmn2_1
raw formation energy	-2281	meV/atom
magnetization	12.53	Bohr magnetons per cell
V	214	Å³ per cell
final energy	-0.5859	Ry/atom

Cell: 5.332 5.321 7.545 Å, 90.00 90.00 90.00°
Atoms (fractional coordinates):
Ca1 0.005 0.222 0.500
Ca2 0.505 0.778 0.000
Fe1 0.000 0.749 0.250
Fe2 0.500 0.251 0.750
Fe3 0.000 0.749 0.750
Fe4 0.500 0.251 0.250
O1 0.058 0.746 0.000
O2 0.271 0.978 0.726
O3 0.558 0.254 0.500
O4 0.953 0.757 0.500
O5 0.222 0.472 0.719
O6 0.722 0.528 0.781
O7 0.453 0.243 0.000
O8 0.771 0.022 0.774
O9 0.271 0.978 0.274
O10 0.222 0.472 0.281
O11 0.722 0.528 0.219
O12 0.771 0.022 0.226
La1 0.497 0.733 0.500
La2 0.997 0.267 0.000



A geometry-optimized KVHSe2O7 structure, computed with PBEsol.

symmetry	P2_1/m
magnetization	2.00	Bohr magnetons per cell
V	326	Å³ per cell
final energy	-0.4625	Ry/atom

Cell: 4.003 7.810 10.497 Å, 90.00 90.00 96.66°
Atoms (fractional coordinates):
O1 0.397 0.388 0.426
O2 0.980 0.115 0.384
O3 0.073 0.241 0.878
O4 0.541 0.047 0.750
O5 0.603 0.612 0.926
O6 0.980 0.115 0.116
O7 0.020 0.885 0.884
O8 0.073 0.241 0.622
O9 0.927 0.759 0.122
O10 0.397 0.388 0.074
O11 0.020 0.885 0.616
O12 0.603 0.612 0.574
O13 0.459 0.953 0.250
O14 0.927 0.759 0.378
Se1 0.299 0.185 0.490
Se2 0.701 0.815 0.510
Se3 0.299 0.185 0.010
Se4 0.701 0.815 0.990
V1 0.952 0.060 0.750
V2 0.048 0.940 0.250
H1 0.500 0.500 0.500
H2 0.500 0.500 0.000
K1 0.090 0.557 0.750
K2 0.910 0.443 0.250



A geometry-optimized MnNi2Mo structure, computed with PBEsol.

symmetry	I4/mmm
DFT formation energy	-0.129	eV per formula unit
magnetization	1.95	Bohr magnetons per cell
V	47	Å³ per cell
final energy	-0.6242	Ry/atom

Cell: 3.529 3.529 4.497 Å, 113.10 113.10 90.00°
Atoms (fractional coordinates):
Mo1 0.000 0.000 0.000
Ni1 0.250 0.750 0.500
Ni2 0.750 0.250 0.500
Mn1 0.500 0.500 0.000



A geometry-optimized ScCu2Re structure, computed with PBEsol.

symmetry	Immm
DFT formation energy	0.916	eV per formula unit
magnetization	0.00	Bohr magnetons per cell
V	57	Å³ per cell
final energy	-0.5088	Ry/atom

Cell: 3.016 4.270 5.160 Å, 114.44 106.99 90.00°
Atoms (fractional coordinates):
Cu1 0.761 0.761 0.521
Cu2 0.239 0.239 0.479
Sc1 0.000 0.500 0.000
Re1 0.500 0.000 0.000



A geometry-optimized SrTc2Mo structure, computed with PBEsol.

symmetry	P2/m
DFT formation energy	2.616	eV per formula unit
magnetization	0.00	Bohr magnetons per cell
V	77	Å³ per cell
final energy	-0.6160	Ry/atom

Cell: 2.894 4.090 6.660 Å, 90.00 101.18 90.00°
Atoms (fractional coordinates):
Sr1 0.000 0.500 0.500
Tc1 0.278 0.000 0.172
Tc2 0.722 0.000 0.828
Mo1 0.500 0.500 0.000



A geometry-optimized YMg4Sb structure, computed with PBEsol.

symmetry	F-43m
raw formation energy	-42	meV/atom
magnetization	0.00	Bohr magnetons per cell
V	145	Å³ per cell
final energy	-0.2266	Ry/atom

Cell: 5.895 5.895 5.895 Å, 60.00 60.00 60.00°
Atoms (fractional coordinates):
Mg1 0.625 0.625 0.124
Mg2 0.625 0.625 0.625
Mg3 0.124 0.625 0.625
Mg4 0.625 0.124 0.625
Sb1 0.250 0.250 0.250
Y1 0.000 0.000 0.000



A geometry-optimized HfBiPd2I structure, computed with PBEsol.

symmetry	P4/mmm
raw formation energy	665	meV/atom
magnetization	0.00	Bohr magnetons per cell
V	139	Å³ per cell
final energy	-0.3697	Ry/atom

Cell: 4.905 4.905 5.791 Å, 90.00 90.00 90.00°
Atoms (fractional coordinates):
Bi1 0.000 0.000 0.500
Pd1 0.000 0.500 0.000
Pd2 0.500 0.000 0.000
I1 0.500 0.500 0.500
Hf1 0.000 0.000 0.000



A geometry-optimized Er5Rh3 structure, computed with PBEsol.

symmetry	P6_3/mcm
DFT formation energy	-5.831	eV per formula unit
magnetization	0.00	Bohr magnetons per cell
V	343	Å³ per cell
final energy	-0.5042	Ry/atom

Cell: 6.103 8.053 8.053 Å, 120.00 90.00 90.00°
Atoms (fractional coordinates):
Er1 0.750 0.000 0.248
Er2 0.250 0.752 0.000
Er3 0.000 0.667 0.333
Er4 0.500 0.667 0.333
Er5 0.750 0.752 0.752
Er6 0.750 0.248 0.000
Er7 0.250 0.000 0.752
Er8 0.250 0.248 0.248
Er9 0.500 0.333 0.667
Er10 0.000 0.333 0.667
Rh1 0.750 0.000 0.601
Rh2 0.250 0.000 0.399
Rh3 0.750 0.601 0.000
Rh4 0.250 0.399 0.000
Rh5 0.750 0.399 0.399
Rh6 0.250 0.601 0.601



Which value of V does entry 12 give? 343 Å³ per cell



V of number 12 (Er5Rh3)? 343 Å³ per cell